Record 1
A relaxed structure of CsLiHo2Se4, computed with PBE-GGA.

Structure (POSCAR):
```
CsLiHo2Se4
1.0
4.231 0.000 0.000
-2.115 7.207 0.000
0.000 0.000 14.723
Cs Li Ho Se
2 2 4 8
Direct
0.107 0.213 0.750
0.893 0.787 0.250
0.826 0.653 0.750
0.174 0.347 0.250
0.366 0.732 0.561
0.634 0.268 0.061
0.634 0.268 0.439
0.366 0.732 0.939
0.259 0.518 0.102
0.741 0.482 0.602
0.741 0.482 0.898
0.259 0.518 0.398
0.000 0.000 0.500
0.000 0.000 0.000
0.415 0.830 0.750
0.585 0.170 0.250
```

Output
Uncorrected formation energy, eV per atom: -1.69
Fermi-level density of states, states/eV per atom: 0.000


Record 2
A relaxed structure of HfTiSi, computed with PBE-GGA.

Structure (POSCAR):
```
HfTiSi
1.0
-0.507 -0.360 -3.325
-0.708 -3.275 0.463
-3.760 2.841 1.986
Si Hf Ti
1 1 1
Direct
0.295 0.295 0.589
0.621 0.621 0.241
0.935 0.935 0.869
```

Output
Uncorrected formation energy, eV per atom: -0.44
Fermi-level density of states, states/eV per atom: 0.420


Record 3
A relaxed structure of Cu2AgSe, computed with PBE-GGA.

Structure (POSCAR):
```
Cu2AgSe
1.0
2.791 -0.034 0.000
0.017 2.791 0.000
0.000 0.000 8.363
Ag Cu Se
1 2 1
Direct
0.500 0.500 0.794
0.000 0.000 0.024
0.500 0.500 0.219
0.000 0.000 0.463
```

Output
Uncorrected formation energy, eV per atom: 0.20
Fermi-level density of states, states/eV per atom: 0.395


Calculated volume values, unit Å³/cell, following the record order: 449 52 65.